Record 1
An optimized crystal structure of Li2Tb4N. Source: Alexandria, functional GGA-PBE.

Cell lengths 4.8654, 4.8654, 8.1226 Å; angles 72.57, 72.57, 90.00 degrees
Last column: nearest neighbours and their distance in Å.
Fractional coordinates of all 7 atoms:
Li  0.6345  0.6345  0.7310  5 Tb 2.98-3.14
Li  0.3655  0.3655  0.2690  5 Tb 2.98-3.14
Tb  0.8371  0.8371  0.3259  1 N 2.40
Tb  0.1629  0.1629  0.6741  1 N 2.40
Tb  0.0000  0.5000  0.0000  2 N 2.43
Tb  0.5000  0.0000  0.0000  2 N 2.43
N  0.0000  0.0000  0.0000  6 Tb 2.40-2.43

Computed properties:
Crystal system: tetragonal
Magnetic moment (μB/cell): 0.01
Space-group type: I4/mmm (139)
V (Å³/f.u.): 174.2
E_form (uncorrected) (eV/atom): -0.23
E_tot (eV/f.u.): -32.29



Record 2
An optimized crystal structure of LiTbN. Source: Alexandria, functional GGA-PBE.

Cell lengths 3.9341, 3.9341, 3.9341 Å; angles 60.00, 60.00, 60.00 degrees
Last column: nearest neighbours and their distance in Å.
Fractional coordinates of all 3 atoms:
Li  0.0000  0.0000  0.0000  4 N 2.41
Tb  0.5000  0.5000  0.5000  4 N 2.41
N  0.2500  0.2500  0.2500  4 Tb 2.41, 4 Li 2.41

Computed properties:
Crystal system: cubic
Magnetic moment (μB/cell): 0.00
Space-group type: F-43m (216)
V (Å³/f.u.): 43.1
E_form (uncorrected) (eV/atom): -0.71
E_tot (eV/f.u.): -16.99



Record 3
An optimized crystal structure of LiTb2N. Source: Alexandria, functional GGA-PBE.

Cell lengths 3.4480, 3.4480, 9.3855 Å; angles 79.42, 79.42, 60.00 degrees
Last column: nearest neighbours and their distance in Å.
Fractional coordinates of all 4 atoms:
Li  0.0000  0.0000  0.0000  2 Tb 3.25, 6 Li 3.45
Tb  0.1181  0.1181  0.6457  3 N 2.40
Tb  0.8819  0.8819  0.3543  3 N 2.40
N  0.5000  0.5000  0.5000  6 Tb 2.40

Computed properties:
Crystal system: trigonal
Magnetic moment (μB/cell): 0.00
Space-group type: R-3m (166)
V (Å³/f.u.): 94.4
E_form (uncorrected) (eV/atom): -0.65
E_tot (eV/f.u.): -22.09



Record 4
An optimized crystal structure of LiTbN. Source: Alexandria, functional GGA-PBE.

Cell lengths 3.5725, 3.5725, 8.9043 Å; angles 78.43, 78.43, 60.00 degrees
Last column: nearest neighbours and their distance in Å.
Fractional coordinates of all 6 atoms:
N  0.6079  0.6079  0.1762  4 Li 2.09-2.28, 3 Tb 2.32
N  0.3921  0.3921  0.8238  4 Li 2.09-2.28, 3 Tb 2.32
Li  0.3118  0.3118  0.0646  4 N 2.09-2.28
Li  0.6882  0.6882  0.9354  4 N 2.09-2.28
Tb  0.9000  0.9000  0.3000  3 N 2.32
Tb  0.1000  0.1000  0.7000  3 N 2.32

Computed properties:
Crystal system: trigonal
Magnetic moment (μB/cell): 0.08
Space-group type: R-3m (166)
V (Å³/f.u.): 47.9
E_form (uncorrected) (eV/atom): -0.88
E_tot (eV/f.u.): -17.52



Record 5
An optimized crystal structure of LiTbTh2N4. Source: Alexandria, functional GGA-PBE.

Cell lengths 3.6060, 6.1134, 11.8276 Å; angles 90.00, 90.00, 107.15 degrees
Last column: nearest neighbours and their distance in Å.
Fractional coordinates of all 16 atoms:
Li  0.8373  0.6747  0.7500  2 N 1.96
Li  0.1627  0.3253  0.2500  2 N 1.96
Tb  0.1009  0.2018  0.7500  2 N 2.42
Tb  0.8991  0.7982  0.2500  2 N 2.42
Th  0.3687  0.7373  0.5611  6 N 2.44-2.49
Th  0.6313  0.2627  0.0611  6 N 2.44-2.49
Th  0.6313  0.2627  0.4389  6 N 2.44-2.49
Th  0.3687  0.7373  0.9389  6 N 2.44-2.49
N  0.2620  0.5240  0.1162  1 Li 1.96
N  0.7380  0.4760  0.6162  1 Li 1.96
N  0.7380  0.4760  0.8838  1 Li 1.96
N  0.2620  0.5240  0.3839  1 Li 1.96
N  0.0000  0.0000  0.5000  4 Th 2.48
N  0.0000  0.0000  0.0000  4 Th 2.48
N  0.4625  0.9250  0.7500  2 Li 2.32, 2 Tb 2.42, 2 Th 2.49
N  0.5375  0.0750  0.2500  2 Li 2.32, 2 Tb 2.42, 2 Th 2.49

Computed properties:
Crystal system: orthorhombic
Magnetic moment (μB/cell): 0.00
Space-group type: Cmcm (63)
V (Å³/f.u.): 124.6
E_form (uncorrected) (eV/atom): -1.31
E_tot (eV/f.u.): -65.14



Record 6
An optimized crystal structure of LiTbUN3. Source: Alexandria, functional GGA-PBE.

Cell lengths 3.4144, 7.0636, 6.8350 Å; angles 101.55, 90.00, 90.00 degrees
Last column: nearest neighbours and their distance in Å.
Fractional coordinates of all 12 atoms:
Li  0.2500  0.0725  0.5796  4 N 1.89-2.04
Li  0.7500  0.9275  0.4204  4 N 1.89-2.04
Tb  0.7500  0.8253  0.7901  3 N 2.34-2.54
Tb  0.2500  0.1747  0.2099  3 N 2.34-2.54
U  0.2500  0.6703  0.1837  2 N 2.06-2.12
U  0.7500  0.3297  0.8163  2 N 2.06-2.12
N  0.2500  0.7921  0.4836  3 Li 1.96-2.04, 1 U 2.06
N  0.7500  0.8846  0.1390  1 Li 1.89
N  0.7500  0.4161  0.1322  1 U 2.12
N  0.7500  0.2079  0.5164  3 Li 1.96-2.04, 1 U 2.06
N  0.2500  0.5839  0.8678  1 U 2.12
N  0.2500  0.1154  0.8610  1 Li 1.89

Computed properties:
Crystal system: monoclinic
Magnetic moment (μB/cell): 1.39
Space-group type: P2_1/m (11)
V (Å³/f.u.): 80.8
E_form (uncorrected) (eV/atom): -1.18
E_tot (eV/f.u.): -49.89



Record 7
An optimized crystal structure of LiTb3U3N8. Source: Alexandria, functional GGA-PBE.

Cell lengths 6.7982, 6.7990, 6.7576 Å; angles 120.20, 90.00, 120.00 degrees
Last column: nearest neighbours and their distance in Å.
Fractional coordinates of all 15 atoms:
Li  0.0000  0.0000  0.5000  6 N 2.34
Tb  0.0000  0.0000  0.0000  6 N 2.43-2.56
Tb  0.0000  0.5000  0.0000  6 N 2.43-2.56
Tb  0.5000  0.5000  0.0000  6 N 2.43-2.56
U  0.5000  0.0000  0.5000  6 N 2.25-2.37
U  0.5000  0.5000  0.5000  6 N 2.25-2.37
U  0.0000  0.5000  0.5000  6 N 2.25-2.37
N  0.2533  0.5066  0.2600  3 U 2.37, 3 Tb 2.43
N  0.7467  0.4934  0.7400  3 U 2.37, 3 Tb 2.43
N  0.7572  0.5144  0.2902  2 U 2.25, 1 Li 2.34
N  0.2428  0.4856  0.7098  2 U 2.25, 1 Li 2.34
N  0.7571  0.0329  0.2901  2 U 2.25, 1 Li 2.34
N  0.2429  0.9671  0.7099  2 U 2.25, 1 Li 2.34
N  0.2759  0.0329  0.2900  2 U 2.25, 1 Li 2.34
N  0.7241  0.9671  0.7100  2 U 2.25, 1 Li 2.34

Computed properties:
Crystal system: trigonal
Magnetic moment (μB/cell): 2.19
Space-group type: R-3m (166)
V (Å³/f.u.): 220.2
E_form (uncorrected) (eV/atom): -1.18
E_tot (eV/f.u.): -133.92



Record 8
An optimized crystal structure of LiTb2UN4. Source: Alexandria, functional GGA-PBE.

Cell lengths 3.5148, 5.7604, 5.8414 Å; angles 106.51, 90.00, 90.00 degrees
Last column: nearest neighbours and their distance in Å.
Fractional coordinates of all 8 atoms:
Li  0.0000  0.0000  0.0000  6 N 2.31-2.56
Tb  0.5000  0.0000  0.5000  6 N 2.50-2.57
Tb  0.0000  0.5000  0.5000  6 N 2.34-2.40
U  0.5000  0.5000  0.0000  2 N 2.09
N  0.5000  0.2936  0.2411  1 U 2.09
N  0.5000  0.7064  0.7589  1 U 2.09
N  0.0000  0.2543  0.7576  1 Li 2.31, 3 Tb 2.34-2.50, 2 U 2.44
N  0.0000  0.7457  0.2424  1 Li 2.31, 3 Tb 2.34-2.50, 2 U 2.44

Computed properties:
Crystal system: monoclinic
Magnetic moment (μB/cell): 0.71
Space-group type: P2/m (10)
V (Å³/f.u.): 113.4
E_form (uncorrected) (eV/atom): -1.31
E_tot (eV/f.u.): -66.22



Among the records above, which one has the lowest V?
number 2



Which of these has the highest V?
LiTb3U3N8



What is the formula in the fifth record?
LiTbTh2N4



Which value of V does entry 7 give?
220.2 Å³/f.u.